Record 1
{
  "formula": "Ba2ZrSiPb",
  "functional": "PBE-GGA",
  "state": "optimized geometry",
  "lattice_angstrom": [[-0.8795, 5.3853, -2.8427], [-3.0317, -2.3422, -3.4992], [-4.9151, 1.0679, 3.5436]],
  "species": ["Si", "Ba", "Ba", "Pb", "Zr"],
  "frac_coords": [[0.0000, 0.5000, 0.0000], [0.5000, 0.0000, 0.0000], [0.0000, 0.0000, 0.5000], [0.5000, 0.5000, 0.5000], [0.0000, 0.0000, 0.0000]],
  "magnetic_moment_mub_per_atom": 0.0000,
  "total_energy_ha_per_atom": -0.140
}


Record 2
{
  "formula": "BaSmPb6",
  "functional": "PBE-GGA",
  "state": "optimized geometry",
  "lattice_angstrom": [[5.0702, 0.0000, 0.0000], [0.0000, 5.0702, 0.0000], [0.0000, 0.0000, 9.8571]],
  "species": ["Sm", "Pb", "Pb", "Pb", "Pb", "Pb", "Pb", "Ba"],
  "frac_coords": [[0.0000, 0.0000, 0.5000], [0.5000, 0.5000, 0.0000], [0.0000, 0.5000, 0.2616], [0.0000, 0.5000, 0.7384], [0.5000, 0.5000, 0.5000], [0.5000, 0.0000, 0.7384], [0.5000, 0.0000, 0.2616], [0.0000, 0.0000, 0.0000]],
  "delta_e_f_ev_per_fu": -2.8,
  "magnetic_moment_mub_per_atom": 0.0000
}


Record 3
{
  "formula": "Ba3Sm3Te8Pb",
  "functional": "PBE-GGA",
  "state": "optimized geometry",
  "lattice_angstrom": [[-5.9854, 6.7596, 1.9422], [0.1649, -7.6488, 5.1720], [7.2364, 6.2057, 0.7025]],
  "species": ["Ba", "Ba", "Ba", "Te", "Te", "Te", "Te", "Te", "Te", "Te", "Te", "Sm", "Sm", "Sm", "Pb"],
  "frac_coords": [[0.0000, 0.5000, 0.0000], [0.0000, 0.0000, 0.0000], [0.5000, 0.5000, 0.0000], [0.2595, 0.5191, 0.2786], [0.2482, 0.9763, 0.7245], [0.7518, 0.0237, 0.2755], [0.7405, 0.4809, 0.7214], [0.7281, 0.9763, 0.7245], [0.2719, 0.0237, 0.2755], [0.7518, 0.5035, 0.2755], [0.2482, 0.4965, 0.7245], [0.5000, 0.5000, 0.5000], [0.5000, 0.0000, 0.5000], [0.0000, 0.5000, 0.5000], [0.0000, 0.0000, 0.5000]],
  "magnetic_moment_mub_per_atom": 0.0000,
  "total_energy_ha_per_atom": -0.171
}


Record 4
{
  "formula": "BaSnPb",
  "functional": "PBE-GGA",
  "state": "optimized geometry",
  "lattice_angstrom": [[7.0942, 0.0000, 0.0000], [0.0000, 6.3952, -2.9347], [0.0000, -0.0979, 9.6795]],
  "species": ["Pb", "Pb", "Pb", "Pb", "Sn", "Sn", "Sn", "Sn", "Ba", "Ba", "Ba", "Ba"],
  "frac_coords": [[0.9084, 0.1180, 0.7116], [0.4084, 0.3820, 0.7884], [0.5916, 0.6180, 0.2116], [0.0916, 0.8820, 0.2884], [0.6358, 0.1638, 0.9891], [0.8642, 0.6638, 0.4891], [0.1358, 0.3362, 0.5109], [0.3642, 0.8362, 0.0109], [0.1250, 0.3256, 0.1234], [0.6250, 0.1744, 0.3766], [0.3750, 0.8256, 0.6234], [0.8750, 0.6744, 0.8766]],
  "delta_e_f_ev_per_fu": -1.5,
  "magnetic_moment_mub_per_atom": 0.0000
}


Record 5
{
  "formula": "BaSnPb3",
  "functional": "PBE-GGA",
  "state": "optimized geometry",
  "lattice_angstrom": [[5.2827, 0.0000, -1.5085], [-0.4462, 7.1238, -1.5627], [-0.1421, -0.3430, 9.5062]],
  "species": ["Sn", "Sn", "Pb", "Pb", "Pb", "Pb", "Pb", "Pb", "Ba", "Ba"],
  "frac_coords": [[0.5488, 0.7021, 0.0976], [0.4512, 0.2979, 0.9024], [0.7105, 0.6358, 0.4211], [0.1327, 0.8690, 0.2654], [0.8673, 0.1310, 0.7346], [0.2895, 0.3642, 0.5789], [0.6959, 0.1595, 0.3918], [0.3041, 0.8405, 0.6082], [0.9157, 0.6677, 0.8314], [0.0843, 0.3323, 0.1686]],
  "delta_e_f_ev_per_fu": -1.3,
  "magnetic_moment_mub_per_atom": 0.0000,
  "relative_energy_kj_per_mol_fu": 0
}


Record 6
{
  "formula": "Ba7Sn2Pb2",
  "functional": "PBE-GGA",
  "state": "optimized geometry",
  "lattice_angstrom": [[8.0253, -0.0030, -1.0498], [0.0041, 8.6485, 0.0036], [-1.5478, -0.0029, 7.9443]],
  "species": ["Pb", "Pb", "Ba", "Ba", "Ba", "Ba", "Ba", "Ba", "Ba", "Sn", "Sn"],
  "frac_coords": [[0.8275, 0.5000, 0.8275], [0.1725, 0.5000, 0.1725], [0.5003, 0.7232, 0.9998], [0.5002, 0.7480, 0.4998], [0.4998, 0.2520, 0.5002], [0.4997, 0.2768, 0.0002], [0.0002, 0.7232, 0.4997], [0.9998, 0.2768, 0.5003], [0.0000, 0.0000, 0.0000], [0.7072, 0.0000, 0.2928], [0.2928, 0.0000, 0.7072]],
  "delta_e_f_ev_per_fu": -4.4,
  "magnetic_moment_mub_per_atom": 0.0000
}


Record 7
{
  "formula": "Ba2Sn3Pb",
  "functional": "PBE-GGA",
  "state": "optimized geometry",
  "lattice_angstrom": [[-3.4871, -5.5280, -2.8896], [4.7989, -4.8104, 2.2136], [-5.1896, 4.1029, 7.8492]],
  "species": ["Sn", "Sn", "Sn", "Sn", "Sn", "Sn", "Ba", "Ba", "Ba", "Ba", "Pb", "Pb"],
  "frac_coords": [[0.1614, 0.1614, 0.8358], [0.8375, 0.8375, 0.6751], [0.3255, 0.3255, 0.1642], [0.8386, 0.8386, 0.1642], [0.6745, 0.6745, 0.8358], [0.1625, 0.1625, 0.3249], [0.2514, 0.7486, 0.0000], [0.7486, 0.2514, 0.0000], [0.7500, 0.2500, 0.5000], [0.2500, 0.7500, 0.5000], [0.3341, 0.3341, 0.6682], [0.6659, 0.6659, 0.3318]],
  "delta_e_f_ev_per_fu": -2.9,
  "magnetic_moment_mub_per_atom": 0.0000
}


Record 8
{
  "formula": "Ba3Sn9Pb2",
  "functional": "PBE-GGA",
  "state": "optimized geometry",
  "lattice_angstrom": [[5.1103, 0.0000, 1.3726], [1.9442, 9.2654, 2.9609], [0.0758, 0.1937, 9.9172]],
  "species": ["Sn", "Sn", "Sn", "Sn", "Sn", "Sn", "Sn", "Sn", "Sn", "Ba", "Ba", "Ba", "Pb", "Pb"],
  "frac_coords": [[0.3400, 0.0239, 0.2962], [0.3400, 0.2962, 0.0239], [0.0000, 0.5000, 0.5000], [0.1470, 0.1283, 0.5776], [0.6600, 0.9761, 0.7038], [0.1470, 0.5776, 0.1283], [0.6600, 0.7038, 0.9761], [0.8530, 0.8717, 0.4224], [0.8530, 0.4224, 0.8717], [0.3061, 0.6939, 0.6939], [0.0000, 0.0000, 0.0000], [0.6939, 0.3061, 0.3061], [0.5000, 0.3037, 0.6963], [0.5000, 0.6963, 0.3037]],
  "delta_e_f_ev_per_fu": -4.7,
  "magnetic_moment_mub_per_atom": 0.0000
}


Record 9
{
  "formula": "BaSnPb3",
  "functional": "PBE-GGA",
  "state": "optimized geometry",
  "lattice_angstrom": [[-2.7785, -0.6482, 5.5623], [-1.1511, -6.0106, -1.2754], [5.4803, -1.5911, 2.5521]],
  "species": ["Pb", "Pb", "Pb", "Sn", "Ba"],
  "frac_coords": [[0.0000, 0.5000, 0.0000], [0.0000, 0.0000, 0.5000], [0.5000, 0.0000, 0.0000], [0.5000, 0.5000, 0.5000], [0.0000, 0.0000, 0.0000]],
  "delta_e_f_ev_per_fu": 4.5,
  "magnetic_moment_mub_per_atom": 0.0000,
  "relative_energy_kj_per_mol_fu": 564
}


Record 10
{
  "formula": "BaSn2Pb",
  "functional": "PBE-GGA",
  "state": "optimized geometry",
  "lattice_angstrom": [[-3.2109, -0.6018, -1.3358], [-1.9094, -2.4785, 5.7063], [-0.6970, 6.3599, -1.1900]],
  "species": ["Pb", "Sn", "Sn", "Ba"],
  "frac_coords": [[0.5000, 0.4447, 0.5553], [0.5000, 0.4454, 0.0554], [0.5000, 0.9446, 0.5546], [0.0000, 0.9453, 0.0547]],
  "delta_e_f_ev_per_fu": -1.2,
  "magnetic_moment_mub_per_atom": 0.0000
}


Record 11
{
  "formula": "Ba2Sn2Pb3",
  "functional": "PBE-GGA",
  "state": "optimized geometry",
  "lattice_angstrom": [[-3.7082, 3.1334, -0.1333], [-2.1386, -2.6584, -2.9962], [-4.0724, -4.3838, 10.2370]],
  "species": ["Pb", "Pb", "Pb", "Ba", "Ba", "Sn", "Sn"],
  "frac_coords": [[0.5000, 0.5675, 0.1350], [0.0000, 0.0000, 0.0000], [0.5000, 0.4325, 0.8650], [0.0000, 0.1592, 0.3184], [0.0000, 0.8408, 0.6816], [0.5000, 0.2883, 0.5765], [0.5000, 0.7117, 0.4235]],
  "delta_e_f_ev_per_fu": -2.4,
  "magnetic_moment_mub_per_atom": 0.0000,
  "relative_energy_kj_per_mol_fu": 58
}


Record 12
{
  "formula": "Ba3Sn8Pb3",
  "functional": "PBE-GGA",
  "state": "optimized geometry",
  "lattice_angstrom": [[5.3002, 0.0000, 0.0000], [2.6501, 9.6142, 0.0080], [2.6501, 2.6252, 9.2488]],
  "species": ["Ba", "Ba", "Ba", "Sn", "Sn", "Sn", "Sn", "Sn", "Sn", "Sn", "Sn", "Pb", "Pb", "Pb"],
  "frac_coords": [[0.8048, 0.1952, 0.1952], [0.1952, 0.8048, 0.8048], [0.5000, 0.5000, 0.5000], [0.6491, 0.6248, 0.0770], [0.6491, 0.0770, 0.6248], [0.3509, 0.9230, 0.3752], [0.8398, 0.7964, 0.5240], [0.3509, 0.3752, 0.9230], [0.1602, 0.4760, 0.2036], [0.8398, 0.5240, 0.7964], [0.1602, 0.2036, 0.4760], [0.0000, 0.1994, 0.8006], [0.0000, 0.8006, 0.1994], [0.5000, 0.0000, 0.0000]],
  "delta_e_f_ev_per_fu": -4.8,
  "magnetic_moment_mub_per_atom": 0.0000
}